<A>
Tb2Br2O | PBE-GGA | relaxed

extended XYZ file:
```
5
Lattice="4.1636 0.0000 0.0000 0.0000 4.1636 0.0000 0.0000 0.0000 13.7236" Properties=species:S:1:pos:R:3 pbc="T T T"
Tb 0.0000 0.0000 2.0672
Tb 0.0000 0.0000 11.6564
Br 0.0000 0.0000 4.6960
Br 0.0000 0.0000 9.0276
O 0.0000 0.0000 0.0000
```

Calculated values
Symmetry: No. 123
N(E_F), states/eV per atom: 0.4771

<B>
Tb2Br2O | PBE-GGA | relaxed

extended XYZ file:
```
10
Lattice="10.6916 -1.9487 0.0000 10.6916 1.9487 0.0000 -0.6570 0.0000 6.8151" Properties=species:S:1:pos:R:3 pbc="T T T"
Tb 3.6392 0.0000 2.6045
Tb 6.6881 0.0000 0.6155
Tb 14.0381 0.0000 6.1996
Tb 17.0871 0.0000 4.2106
Br 1.6187 0.0000 4.7293
Br 8.2367 0.0000 5.4421
Br 12.4896 0.0000 1.3729
Br 19.1075 0.0000 2.0858
O 4.4328 0.0000 0.5008
O 16.2935 0.0000 6.3143
```

Calculated values
Symmetry: No. 12
N(E_F), states/eV per atom: 0.2913

The computed energies, referenced to the most stable structure and given in kJ/mol of atoms, are <A> 102.3; <B> 0.0.

<A>
TeBr2O | PBE-GGA | relaxed

extended XYZ file:
```
12
Lattice="3.8112 0.0000 0.0000 -1.9056 3.3006 0.0000 0.0000 0.0000 24.9515" Properties=species:S:1:pos:R:3 pbc="T T T"
Te 0.0000 0.0000 0.0000
Te 0.0000 2.2004 16.6343
Te 1.9056 1.1002 8.3171
Br 0.0000 0.0000 10.4907
Br 0.0000 0.0000 14.4608
Br 0.0000 2.2004 2.1735
Br 0.0000 2.2004 6.1436
Br 1.9056 1.1002 18.8078
Br 1.9056 1.1002 22.7779
O 0.0000 0.0000 12.4757
O 0.0000 2.2004 4.1586
O 1.9056 1.1002 20.7929
```

Calculated values
Symmetry: No. 166
N(E_F), states/eV per atom: 0.3360

<B>
TeBr2O | PBE-GGA | relaxed

extended XYZ file:
```
12
Lattice="3.7046 0.0000 0.0000 -1.8523 3.2083 0.0000 0.0000 0.0000 26.0634" Properties=species:S:1:pos:R:3 pbc="T T T"
Te 0.0000 0.0000 0.0000
Te 0.0000 2.1389 17.3756
Te 1.8523 1.0694 8.6878
Br 0.0000 0.0000 2.6519
Br 0.0000 0.0000 23.4116
Br 0.0000 2.1389 14.7238
Br 0.0000 2.1389 20.0275
Br 1.8523 1.0694 6.0359
Br 1.8523 1.0694 11.3397
O 0.0000 0.0000 13.0317
O 0.0000 2.1389 4.3439
O 1.8523 1.0694 21.7195
```

Calculated values
Symmetry: No. 166
N(E_F), states/eV per atom: 0.7010

<C>
TeBr2O | PBE-GGA | relaxed

extended XYZ file:
```
16
Lattice="6.8666 0.0000 0.0000 0.0000 6.8666 0.0000 0.0000 0.0000 6.8666" Properties=species:S:1:pos:R:3 pbc="T T T"
Te 0.0000 0.0000 0.0000
Te 0.0000 3.4333 3.4333
Te 3.4333 0.0000 3.4333
Te 3.4333 3.4333 0.0000
Br 1.7166 1.7166 1.7166
Br 1.7166 1.7166 5.1499
Br 1.7166 5.1499 1.7166
Br 1.7166 5.1499 5.1499
Br 5.1499 1.7166 1.7166
Br 5.1499 1.7166 5.1499
Br 5.1499 5.1499 1.7166
Br 5.1499 5.1499 5.1499
O 0.0000 0.0000 3.4333
O 0.0000 3.4333 0.0000
O 3.4333 0.0000 0.0000
O 3.4333 3.4333 3.4333
```

Calculated values
Symmetry: No. 225
N(E_F), states/eV per atom: 0.2850

The computed energies, referenced to the most stable structure and given in kJ/mol of atoms, are <A> 0.0; <B> 10.7; <C> 24.3.

<A>
Te3BrO | PBE-GGA | relaxed

extended XYZ file:
```
5
Lattice="5.5176 0.0000 0.0000 0.0000 5.5176 0.0000 0.0000 0.0000 5.5176" Properties=species:S:1:pos:R:3 pbc="T T T"
Te 0.0000 0.0000 2.7588
Te 0.0000 2.7588 0.0000
Te 2.7588 0.0000 0.0000
Br 0.0000 0.0000 0.0000
O 2.7588 2.7588 2.7588
```

Calculated values
Symmetry: No. 221
N(E_F), states/eV per atom: 2.1844

<B>
Te3BrO | PBE-GGA | relaxed

extended XYZ file:
```
20
Lattice="12.0143 0.0000 0.0000 0.0000 6.4517 0.0000 -0.5162 0.0000 8.1106" Properties=species:S:1:pos:R:3 pbc="T T T"
Te -0.0786 1.3187 2.3063
Te -0.3368 1.9072 6.3616
Te 2.5833 3.9456 2.3294
Te 2.3252 5.7319 6.3847
Te 3.1840 3.3541 7.7028
Te 3.4421 6.3235 3.6475
Te 8.0559 0.1282 4.4630
Te 8.3141 3.0977 0.4078
Te 9.1728 0.7198 1.7259
Te 8.9147 2.5061 5.7812
Te 11.8348 4.5446 1.7490
Te 11.5767 5.1330 5.8043
Br 4.6616 0.9658 1.3942
Br 4.4035 2.2601 5.4495
Br 7.0945 4.1916 2.6611
Br 6.8364 5.4860 6.7164
O -0.4261 4.7370 7.9542
O -0.1680 4.9406 3.8989
O 11.6660 1.5111 4.2117
O 11.9241 1.7148 0.1564
```

Calculated values
Symmetry: No. 14
N(E_F), states/eV per atom: 0.0885

<C>
Te3BrO | PBE-GGA | relaxed

extended XYZ file:
```
5
Lattice="4.9155 0.0000 0.0000 0.0000 4.9155 0.0000 0.0000 0.0000 4.9155" Properties=species:S:1:pos:R:3 pbc="T T T"
Te 0.0000 0.0000 2.4578
Te 0.0000 2.4578 0.0000
Te 2.4578 0.0000 0.0000
Br 2.4578 2.4578 2.4578
O 0.0000 0.0000 0.0000
```

Calculated values
Symmetry: No. 221
N(E_F), states/eV per atom: 0.8502

The computed energies, referenced to the most stable structure and given in kJ/mol of atoms, are <A> 157.6; <B> 0.0; <C> 51.7.

<A>
TeBr3O | PBE-GGA | relaxed

extended XYZ file:
```
5
Lattice="4.8304 0.0000 0.0000 0.0000 4.8304 0.0000 0.0000 0.0000 4.8304" Properties=species:S:1:pos:R:3 pbc="T T T"
Te 0.0000 0.0000 0.0000
Br 0.0000 2.4152 2.4152
Br 2.4152 0.0000 2.4152
Br 2.4152 2.4152 0.0000
O 2.4152 2.4152 2.4152
```

Calculated values
Symmetry: No. 221
N(E_F), states/eV per atom: 0.6812

<B>
TeBr3O | PBE-GGA | relaxed

extended XYZ file:
```
20
Lattice="3.2807 0.0000 0.0000 0.0000 9.3156 0.0000 -0.2075 0.0000 25.4512" Properties=species:S:1:pos:R:3 pbc="T T T"
Te 0.7655 1.2994 3.6276
Te 0.6618 8.0162 16.3531
Te 2.4115 1.2994 9.0980
Te 2.3078 8.0162 21.8236
Br 0.6626 1.4460 15.8785
Br 0.7663 7.8695 3.1529
Br 0.7650 4.0094 4.2295
Br 0.6613 5.3062 16.9551
Br 0.7700 1.7961 11.5177
Br 0.6663 7.5195 24.2433
Br 2.4070 1.7961 1.2079
Br 2.3033 7.5195 13.9334
Br 2.4120 4.0094 8.4960
Br 2.3083 5.3062 21.2216
Br 2.3069 1.4460 22.2983
Br 2.4107 7.8695 9.5727
O 0.7713 1.0696 7.9453
O 0.6676 8.2460 20.6709
O 2.4057 1.0696 4.7802
O 2.3020 8.2460 17.5058
```

Calculated values
Symmetry: No. 13
N(E_F), states/eV per atom: 0.5933

The computed energies, referenced to the most stable structure and given in kJ/mol of atoms, are <A> 84.6; <B> 0.0.

<A>
Ti2BrO | PBE-GGA | relaxed

extended XYZ file:
```
16
Lattice="6.0130 0.0000 0.0000 0.0000 6.0130 0.0000 0.0000 0.0000 6.0130" Properties=species:S:1:pos:R:3 pbc="T T T"
Ti 1.5033 1.5033 1.5033
Ti 1.5033 1.5033 4.5098
Ti 1.5033 4.5098 1.5033
Ti 1.5033 4.5098 4.5098
Ti 4.5098 1.5033 1.5033
Ti 4.5098 1.5033 4.5098
Ti 4.5098 4.5098 1.5033
Ti 4.5098 4.5098 4.5098
Br 0.0000 0.0000 0.0000
Br 0.0000 3.0065 3.0065
Br 3.0065 0.0000 3.0065
Br 3.0065 3.0065 0.0000
O 0.0000 0.0000 3.0065
O 0.0000 3.0065 0.0000
O 3.0065 0.0000 0.0000
O 3.0065 3.0065 3.0065
```

Calculated values
Symmetry: No. 225
N(E_F), states/eV per atom: 1.9367

<B>
Ti2BrO | PBE-GGA | relaxed

extended XYZ file:
```
16
Lattice="5.1076 0.0000 0.0000 0.0000 5.1076 0.0000 0.0000 0.0000 10.9801" Properties=species:S:1:pos:R:3 pbc="T T T"
Ti 0.6687 1.2769 1.3725
Ti 1.2769 3.2225 4.1175
Ti 1.2769 4.4388 9.6076
Ti 1.8850 1.2769 6.8626
Ti 3.2225 3.8307 6.8626
Ti 3.8307 0.6687 9.6076
Ti 3.8307 1.8850 4.1175
Ti 4.4388 3.8307 1.3725
Br 0.0000 0.0000 5.4901
Br 0.0000 2.5538 8.2351
Br 2.5538 0.0000 2.7450
Br 2.5538 2.5538 0.0000
O 0.0000 0.0000 0.0000
O 0.0000 2.5538 2.7450
O 2.5538 0.0000 8.2351
O 2.5538 2.5538 5.4901
```

Calculated values
Symmetry: No. 122
N(E_F), states/eV per atom: 1.2352

The computed energies, referenced to the most stable structure and given in kJ/mol of atoms, are <A> 54.6; <B> 0.0.

<A>
TiBrO2 | PBE-GGA | relaxed

extended XYZ file:
```
12
Lattice="2.9723 0.0000 0.0000 -1.4861 2.5741 0.0000 0.0000 0.0000 25.4826" Properties=species:S:1:pos:R:3 pbc="T T T"
Ti 0.0000 0.0000 0.0000
Ti 0.0000 1.7160 16.9884
Ti 1.4861 0.8580 8.4942
Br 0.0000 0.0000 12.7413
Br 0.0000 1.7160 4.2471
Br 1.4861 0.8580 21.2355
O 0.0000 0.0000 9.4689
O 0.0000 0.0000 16.0137
O 0.0000 1.7160 0.9747
O 0.0000 1.7160 7.5195
O 1.4861 0.8580 17.9631
O 1.4861 0.8580 24.5079
```

Calculated values
Symmetry: No. 166
N(E_F), states/eV per atom: 0.2570

<B>
TiBrO2 | PBE-GGA | relaxed

extended XYZ file:
```
16
Lattice="5.9693 0.0000 0.0000 0.0000 5.9693 0.0000 0.0000 0.0000 8.4288" Properties=species:S:1:pos:R:3 pbc="T T T"
Ti 0.0000 0.0000 0.0000
Ti 0.0000 2.9846 2.1072
Ti 2.9846 0.0000 6.3216
Ti 2.9846 2.9846 4.2144
Br 0.0000 0.0000 4.2144
Br 0.0000 2.9846 6.3216
Br 2.9846 0.0000 2.1072
Br 2.9846 2.9846 0.0000
O 0.0045 1.4923 1.0536
O 1.4923 2.9892 3.1608
O 1.4923 5.9648 7.3752
O 2.9801 1.4923 5.2680
O 2.9892 4.4770 5.2680
O 4.4770 0.0045 7.3752
O 4.4770 2.9801 3.1608
O 5.9648 4.4770 1.0536
```

Calculated values
Symmetry: No. 122
N(E_F), states/eV per atom: 0.1127

The computed energies, referenced to the most stable structure and given in kJ/mol of atoms, are <A> 0.0; <B> 3.6.

<A>
TiBrO2 | PBE-GGA | relaxed

extended XYZ file:
```
12
Lattice="3.0730 0.0000 0.0000 -1.5365 2.6613 0.0000 0.0000 0.0000 22.6298" Properties=species:S:1:pos:R:3 pbc="T T T"
Ti 0.0000 0.0000 0.0000
Ti 0.0000 1.7742 15.0865
Ti 1.5365 0.8871 7.5433
Br 0.0000 0.0000 11.3149
Br 0.0000 1.7742 3.7716
Br 1.5365 0.8871 18.8581
O 0.0000 0.0000 1.7693
O 0.0000 0.0000 20.8605
O 0.0000 1.7742 13.3172
O 0.0000 1.7742 16.8558
O 1.5365 0.8871 5.7739
O 1.5365 0.8871 9.3126
```

Calculated values
Symmetry: No. 166
N(E_F), states/eV per atom: 1.0396

<B>
TiBrO2 | PBE-GGA | relaxed

extended XYZ file:
```
16
Lattice="5.7023 0.0000 0.0000 0.0000 5.7023 0.0000 0.0000 0.0000 5.7023" Properties=species:S:1:pos:R:3 pbc="T T T"
Ti 0.0000 0.0000 0.0000
Ti 0.0000 2.8511 2.8511
Ti 2.8511 0.0000 2.8511
Ti 2.8511 2.8511 0.0000
Br 0.0000 0.0000 2.8511
Br 0.0000 2.8511 0.0000
Br 2.8511 0.0000 0.0000
Br 2.8511 2.8511 2.8511
O 1.4256 1.4256 1.4256
O 1.4256 1.4256 4.2767
O 1.4256 4.2767 1.4256
O 1.4256 4.2767 4.2767
O 4.2767 1.4256 1.4256
O 4.2767 1.4256 4.2767
O 4.2767 4.2767 1.4256
O 4.2767 4.2767 4.2767
```

Calculated values
Symmetry: No. 225
N(E_F), states/eV per atom: 1.1368

The computed energies, referenced to the most stable structure and given in kJ/mol of atoms, are <A> 28.1; <B> 0.0.

<A>
Tl3BrO | PBE-GGA | relaxed

extended XYZ file:
```
5
Lattice="5.3253 0.0000 0.0000 0.0000 5.3253 0.0000 0.0000 0.0000 5.3253" Properties=species:S:1:pos:R:3 pbc="T T T"
Tl 0.0000 0.0000 2.6626
Tl 0.0000 2.6626 0.0000
Tl 2.6626 0.0000 0.0000
Br 2.6626 2.6626 2.6626
O 0.0000 0.0000 0.0000
```

Calculated values
Symmetry: No. 221
N(E_F), states/eV per atom: 0.2021

<B>
Tl3BrO | PBE-GGA | relaxed

extended XYZ file:
```
10
Lattice="7.3343 0.0000 0.0000 0.0000 6.0762 0.0000 -2.4109 0.0000 7.5494" Properties=species:S:1:pos:R:3 pbc="T T T"
Tl 0.2112 1.5191 0.9762
Tl -0.7478 1.5191 4.8815
Tl 1.2744 4.5572 5.3547
Tl 3.6491 1.5191 2.1948
Tl 5.6712 4.5572 2.6679
Tl 4.7122 4.5572 6.5732
Br 1.6392 4.5572 2.1407
Br 3.2843 1.5191 5.4088
O -1.0386 4.5572 4.9355
O 5.9620 1.5191 2.6139
```

Calculated values
Symmetry: No. 11
N(E_F), states/eV per atom: 0.0000

<C>
Tl3BrO | PBE-GGA | relaxed

extended XYZ file:
```
10
Lattice="6.8490 0.0000 0.0000 0.0000 6.8470 0.0000 -3.2652 0.0000 6.4516" Properties=species:S:1:pos:R:3 pbc="T T T"
Tl -0.6087 1.7118 1.2798
Tl 0.7069 0.0365 4.8011
Tl 0.7069 3.3870 4.8011
Tl 2.8769 3.4600 1.6505
Tl 2.8769 6.8106 1.6505
Tl 4.1924 5.1353 5.1719
Br -2.2239 1.7118 4.5617
Br 5.8077 5.1353 1.8899
O -0.5103 5.1353 6.1035
O 4.0940 1.7118 0.3481
```

Calculated values
Symmetry: No. 11

<D>
Tl3BrO | PBE-GGA | relaxed

extended XYZ file:
```
5
Lattice="6.1256 0.0000 0.0000 0.0000 6.1256 0.0000 0.0000 0.0000 6.1256" Properties=species:S:1:pos:R:3 pbc="T T T"
Tl 0.0000 0.0000 3.0628
Tl 0.0000 3.0628 0.0000
Tl 3.0628 0.0000 0.0000
Br 0.0000 0.0000 0.0000
O 3.0628 3.0628 3.0628
```

Calculated values
Symmetry: No. 221
N(E_F), states/eV per atom: 0.6789

The computed energies, referenced to the most stable structure and given in kJ/mol of atoms, are <A> 20.3; <B> 2.9; <C> 0.0; <D> 97.3.

<A>
Tl2BrO | PBE-GGA | relaxed

extended XYZ file:
```
8
Lattice="5.9646 0.0000 0.0000 0.5350 6.6055 0.0000 2.7593 0.3655 6.3563" Properties=species:S:1:pos:R:3 pbc="T T T"
Tl 0.0000 0.0000 0.0000
Tl 1.9272 3.0610 1.5610
Tl 4.6424 3.5772 2.0440
Tl 6.5814 6.6361 3.6084
Br 4.5470 3.5193 4.9781
Br 3.5460 6.6205 1.7650
O 6.0968 1.8582 1.7965
O 6.4377 4.7806 1.8402
```

Calculated values
Symmetry: No. 1

<B>
Tl2BrO | PBE-GGA | relaxed

extended XYZ file:
```
16
Lattice="7.4895 0.0000 0.0000 0.0000 7.4895 0.0000 0.0000 0.0000 7.4895" Properties=species:S:1:pos:R:3 pbc="T T T"
Tl 1.8724 1.8724 1.8724
Tl 1.8724 1.8724 5.6171
Tl 1.8724 5.6171 1.8724
Tl 1.8724 5.6171 5.6171
Tl 5.6171 1.8724 1.8724
Tl 5.6171 1.8724 5.6171
Tl 5.6171 5.6171 1.8724
Tl 5.6171 5.6171 5.6171
Br 0.0000 0.0000 0.0000
Br 0.0000 3.7447 3.7447
Br 3.7447 0.0000 3.7447
Br 3.7447 3.7447 0.0000
O 0.0000 0.0000 3.7447
O 0.0000 3.7447 0.0000
O 3.7447 0.0000 0.0000
O 3.7447 3.7447 3.7447
```

Calculated values
Symmetry: No. 225
N(E_F), states/eV per atom: 0.5443

<C>
Tl2BrO | PBE-GGA | relaxed

extended XYZ file:
```
16
Lattice="7.2783 0.0000 0.0000 0.0000 7.2783 0.0000 0.0000 0.0000 8.6386" Properties=species:S:1:pos:R:3 pbc="T T T"
Tl 1.1932 1.8196 1.0798
Tl 1.8196 4.8324 3.2395
Tl 1.8196 6.0851 7.5588
Tl 2.4460 1.8196 5.3991
Tl 4.8324 5.4588 5.3991
Tl 5.4588 1.1932 7.5588
Tl 5.4588 2.4460 3.2395
Tl 6.0851 5.4588 1.0798
Br 0.0000 0.0000 4.3193
Br 0.0000 3.6392 6.4789
Br 3.6392 0.0000 2.1596
Br 3.6392 3.6392 0.0000
O 0.0000 0.0000 0.0000
O 0.0000 3.6392 2.1596
O 3.6392 0.0000 6.4789
O 3.6392 3.6392 4.3193
```

Calculated values
Symmetry: No. 122
N(E_F), states/eV per atom: 0.7935

The computed energies, referenced to the most stable structure and given in kJ/mol of atoms, are <A> 0.0; <B> 42.9; <C> 10.2.